# 1
DFT (PBE-GGA) results for an optimized crystal structure of Nd3Er5Se8.

* raw total energy: -92.91 eV for the cell shown
* M_tot: 0.00 μB/f.u.
* D(E_F): 9.10 states/eV per cell

abc: 8.1478 8.1478 8.3033
angles: 60.62 60.62 60.00
Fractional positions:
Er: 0.0000 0.5000 0.0000
Er: 0.5000 0.5000 0.5000
Er: 0.5000 0.5000 0.0000
Er: 0.0000 0.0000 0.0000
Er: 0.5000 0.0000 0.0000
Se: 0.7504 0.2619 0.2373
Se: 0.7504 0.7504 0.2373
Se: 0.7381 0.2496 0.7627
Se: 0.7438 0.7438 0.7686
Se: 0.2619 0.7504 0.2373
Se: 0.2496 0.7381 0.7627
Se: 0.2496 0.2496 0.7627
Se: 0.2562 0.2562 0.2314
Nd: 0.0000 0.5000 0.5000
Nd: 0.0000 0.0000 0.5000
Nd: 0.5000 0.0000 0.5000



# 2
DFT (PBE-GGA) results for an optimized crystal structure of NaZr.

* energy above the lowest structure with this stoichiometry: 7.53 kcal/mol of atoms
* M_tot: 0.00 μB/f.u.
* formation energy: 509 meV per atom
* D(E_F): 13.64 states/eV per cell

abc: 11.1368 11.1368 2.9500
angles: 90.00 90.00 120.00
Fractional positions:
Zr: 0.5540 0.1438 0.2500
Zr: 0.5899 0.4460 0.2500
Zr: 0.4101 0.5540 0.7500
Zr: 0.1438 0.5899 0.7500
Zr: 0.8562 0.4101 0.2500
Zr: 0.4460 0.8562 0.7500
Na: 0.7185 0.7803 0.7500
Na: 0.9382 0.7185 0.2500
Na: 0.7803 0.0618 0.2500
Na: 0.2815 0.2197 0.2500
Na: 0.2197 0.9382 0.7500
Na: 0.0618 0.2815 0.7500



# 3
DFT (PBE-GGA) results for an optimized crystal structure of Lu2MnIn.

* energy above the lowest structure with this stoichiometry: 0.00 kcal/mol of atoms
* M_tot: 2.95 μB/f.u.
* formation energy: -174 meV per atom
* D(E_F): 3.64 states/eV per cell

abc: 3.5508 3.5508 7.3068
angles: 90.00 90.00 90.00
Fractional positions:
Lu: 0.0000 0.0000 0.7733
Lu: 0.0000 0.0000 0.2267
Mn: 0.5000 0.5000 0.0000
In: 0.5000 0.5000 0.5000



# 4
DFT (PBE-GGA) results for an optimized crystal structure of Cs3PrPb2O6.

* raw total energy: -62.67 eV for the cell shown
* M_tot: 0.00 μB/f.u.
* D(E_F): 4.59 states/eV per cell

abc: 6.6766 6.6766 7.9625
angles: 90.00 90.00 120.00
Fractional positions:
Pb: 0.6667 0.3333 0.7865
Pb: 0.3333 0.6667 0.2135
O: 0.6689 0.8344 0.3213
O: 0.1656 0.3311 0.3213
O: 0.8344 0.1656 0.6787
O: 0.8344 0.6689 0.6787
O: 0.1656 0.8344 0.3213
O: 0.3311 0.1656 0.6787
Pr: 0.0000 0.0000 0.5000
Cs: 0.6667 0.3333 0.3335
Cs: 0.0000 0.0000 0.0000
Cs: 0.3333 0.6667 0.6665



# 5
DFT (PBE-GGA) results for an optimized crystal structure of NaTi2Br.

* energy above the lowest structure with this stoichiometry: 7.50 kcal/mol of atoms
* M_tot: 0.00 μB/f.u.
* D(E_F): 5.86 states/eV per cell

abc: 4.7836 4.7836 4.7836
angles: 60.00 60.00 60.00
Fractional positions:
Na: 0.0000 0.0000 0.0000
Br: 0.5000 0.5000 0.5000
Ti: 0.2500 0.2500 0.2500
Ti: 0.7500 0.7500 0.7500



# 6
DFT (PBE-GGA) results for an optimized crystal structure of PRh.

* M_tot: 0.00 μB/f.u.
* formation energy: -426 meV per atom
* D(E_F): 2.88 states/eV per cell

abc: 5.5868 5.5868 5.5581
angles: 64.80 64.80 34.47
Fractional positions:
P: 0.3856 0.3856 0.2253
P: 0.6127 0.6127 0.4116
P: 0.6832 0.6832 0.7422
Rh: 0.2232 0.2232 0.0736
Rh: 0.9276 0.9276 0.4754
Rh: 0.0010 0.0010 0.9053



# 7
DFT (PBE-GGA) results for an optimized crystal structure of Li2YCd.

* energy above the lowest structure with this stoichiometry: 3.15 kcal/mol of atoms
* M_tot: 0.00 μB/f.u.
* formation energy: 30 meV per atom
* D(E_F): 2.47 states/eV per cell

abc: 3.3228 3.3228 10.1609
angles: 80.59 80.59 60.00
Fractional positions:
Cd: 0.6668 0.6668 0.9997
Li: 0.2593 0.2593 0.2222
Li: 0.0743 0.0743 0.7772
Y: 0.4997 0.4997 0.5008



# 8
DFT (PBE-GGA) results for an optimized crystal structure of SnAsSe3.

* raw total energy: -39.48 eV for the cell shown
* M_tot: 0.00 μB/f.u.
* D(E_F): 2.54 states/eV per cell

abc: 4.9309 6.3197 11.4231
angles: 110.46 90.00 90.00
Fractional positions:
Se: 0.2500 0.0141 0.3729
Se: 0.2500 0.0446 0.8900
Se: 0.7500 0.9554 0.1100
Se: 0.2500 0.5083 0.7535
Se: 0.7500 0.9859 0.6271
Se: 0.7500 0.4917 0.2465
As: 0.7500 0.8996 0.3125
As: 0.2500 0.1004 0.6875
Sn: 0.7500 0.7731 0.8059
Sn: 0.2500 0.2269 0.1941



# 9
DFT (PBE-GGA) results for an optimized crystal structure of Nd4BiSeS2.

* raw total energy: -48.06 eV for the cell shown
* M_tot: 0.00 μB/f.u.
* D(E_F): 2.95 states/eV per cell

abc: 4.2233 7.4491 7.3140
angles: 70.93 90.00 90.00
Fractional positions:
Se: 0.0000 0.5000 0.5000
Nd: 0.5000 0.7750 0.2491
Nd: 0.0000 0.2181 0.2695
Nd: 0.0000 0.7819 0.7305
Nd: 0.5000 0.2250 0.7509
S: 0.0000 0.0000 0.0000
S: 0.5000 0.0000 0.5000
Bi: 0.5000 0.5000 0.0000



# 10
DFT (PBE-GGA) results for an optimized crystal structure of ScFeI3.

* raw total energy: -19.24 eV for the cell shown
* M_tot: 4.30 μB/f.u.
* D(E_F): 6.33 states/eV per cell

abc: 5.7612 5.7612 5.7612
angles: 90.00 90.00 90.00
Fractional positions:
I: 0.5000 0.0000 0.0000
I: 0.0000 0.5000 0.0000
I: 0.0000 0.0000 0.5000
Sc: 0.0000 0.0000 0.0000
Fe: 0.5000 0.5000 0.5000



# 11
DFT (PBE-GGA) results for an optimized crystal structure of PrTc2O6.

* raw total energy: -72.25 eV for the cell shown
* M_tot: 5.00 μB/f.u.
* D(E_F): 7.36 states/eV per cell

abc: 5.1208 5.2897 5.2897
angles: 120.00 90.00 90.00
Fractional positions:
O: 0.2855 0.0000 0.6331
O: 0.2855 0.3669 0.3669
O: 0.2855 0.6331 0.0000
O: 0.7145 0.3669 0.0000
O: 0.7145 0.0000 0.3669
O: 0.7145 0.6331 0.6331
Tc: 0.5000 0.6667 0.3333
Tc: 0.5000 0.3333 0.6667
Pr: 0.0000 0.0000 0.0000



# 12
DFT (PBE-GGA) results for an optimized crystal structure of BeTcHg4.

* M_tot: 2.79 μB/f.u.
* formation energy: 1100 meV per atom
* D(E_F): 5.07 states/eV per cell

abc: 5.6857 5.6857 5.6857
angles: 60.00 60.00 60.00
Fractional positions:
Tc: 0.7500 0.7500 0.7500
Hg: 0.3752 0.3752 0.8745
Hg: 0.3752 0.8745 0.3752
Hg: 0.3752 0.3752 0.3752
Hg: 0.8745 0.3752 0.3752
Be: 0.0000 0.0000 0.0000



# 13
DFT (PBE-GGA) results for an optimized crystal structure of SnHO.

* energy above the lowest structure with this stoichiometry: 0.00 kcal/mol of atoms
* M_tot: 0.00 μB/f.u.
* D(E_F): 0.05 states/eV per cell

abc: 6.1197 6.0529 5.1899
angles: 90.00 90.00 112.69
Fractional positions:
H: 0.0855 0.4125 0.8463
H: 0.0855 0.9125 0.6537
H: 0.9145 0.5875 0.1537
H: 0.9145 0.0875 0.3463
O: 0.5968 0.4074 0.6785
O: 0.5968 0.9074 0.8215
O: 0.4032 0.5926 0.3215
O: 0.4032 0.0926 0.1785
Sn: 0.2678 0.2362 0.4781
Sn: 0.7322 0.7638 0.5219
Sn: 0.7322 0.2638 0.9781
Sn: 0.2678 0.7362 0.0219